(1)
## MgHg2Br (meta-GGA SCAN)

Data for a PBEsol-optimized structure of MgHg2Br.

Calculated values
Its formation energy from raw total energies is -0.3046 eV per atom. The calculation puts the density of states at the Fermi level at 1.5 states/eV per cell. Its space group is I4/mmm, No. 139. The value obtained for the energy above the most stable polymorph in this dataset is 146.0 meV per atom. The crystal system is tetragonal.

Cell lengths 4.1260, 4.1260, 6.5572 Å; angles 108.34, 108.34, 90.00 degrees
With the nearest neighbours (Å) after each atom.
Positions (direct):
Br  0.0000  0.0000  0.0000  4 Mg 2.92
Hg  0.7500  0.2500  0.5000  4 Hg 2.92
Hg  0.2500  0.7500  0.5000  4 Hg 2.92
Mg  0.5000  0.5000  0.0000  4 Br 2.92

(2)
## MgHg2Br (meta-GGA SCAN)

Data for a PBEsol-optimized structure of MgHg2Br.

Calculated values
Its formation energy from raw total energies is -0.4506 eV per atom. The calculation puts the density of states at the Fermi level at 1.3 states/eV per cell. Its space group is Cmm2, No. 35. The value obtained for the energy above the most stable polymorph in this dataset is 0.0 meV per atom. The crystal system is orthorhombic.

Cell lengths 3.3979, 3.3979, 8.3923 Å; angles 90.00, 90.00, 88.47 degrees
With the nearest neighbours (Å) after each atom.
Positions (direct):
Br  0.5000  0.5000  0.3144  4 Mg 2.83-2.88
Hg  0.0000  0.0000  0.9710  8 Hg 3.19-3.40
Hg  0.5000  0.5000  0.7170  4 Mg 3.00-3.05, 4 Hg 3.19-3.24
Mg  0.0000  0.0000  0.4977  4 Br 2.83-2.88, 4 Hg 3.00-3.05

(3)
## MgHgSe2Br (meta-GGA SCAN)

Data for a PBEsol-optimized structure of MgHgSe2Br.

Calculated values
Its formation energy from raw total energies is -0.1157 eV per atom. The calculation puts the density of states at the Fermi level at 4.8 states/eV per cell. Its space group is P4/mmm, No. 123. The crystal system is tetragonal.

Cell lengths 4.9610, 5.1123, 5.1123 Å; angles 90.00, 90.00, 90.00 degrees
With the nearest neighbours (Å) after each atom.
Positions (direct):
Mg  0.0000  0.0000  0.0000  2 Br 2.48, 4 Se 2.56
Se  0.0000  0.0000  0.5000  2 Mg 2.56
Se  0.0000  0.5000  0.0000  2 Mg 2.56
Hg  0.5000  0.5000  0.5000  8 Se 3.56, 4 Br 3.61
Br  0.5000  0.0000  0.0000  2 Mg 2.48

(4)
## MnHg3Br (meta-GGA SCAN)

Data for a PBEsol-optimized structure of MnHg3Br.

Calculated values
Its formation energy from raw total energies is -0.0151 eV per atom. The calculation puts the density of states at the Fermi level at 2.1 states/eV per cell. Its space group is Pm-3m, No. 221. The crystal system is cubic.

Cell lengths 5.1918, 5.1918, 5.1918 Å; angles 90.00, 90.00, 90.00 degrees
With the nearest neighbours (Å) after each atom.
Positions (direct):
Mn  0.0000  0.0000  0.0000  6 Hg 2.60
Hg  0.0000  0.5000  0.0000  2 Mn 2.60
Hg  0.0000  0.0000  0.5000  2 Mn 2.60
Hg  0.5000  0.0000  0.0000  2 Mn 2.60
Br  0.5000  0.5000  0.5000  12 Hg 3.67

(5)
## Mn2HgBr (meta-GGA SCAN)

Data for a PBEsol-optimized structure of Mn2HgBr.

Calculated values
Its formation energy from raw total energies is 0.6331 eV per atom. The calculation puts the density of states at the Fermi level at 3.7 states/eV per cell. Its space group is F-43m, No. 216. The value obtained for the energy above the most stable polymorph in this dataset is 657.2 meV per atom. The crystal system is cubic.

Cell lengths 4.6945, 4.6945, 4.6945 Å; angles 60.00, 60.00, 60.00 degrees
With the nearest neighbours (Å) after each atom.
Positions (direct):
Br  0.5000  0.5000  0.5000  4 Hg 2.87, 4 Mn 2.87
Hg  0.2500  0.2500  0.2500  4 Br 2.87, 4 Mn 2.87
Mn  0.0000  0.0000  0.0000  4 Mn 2.87, 4 Hg 2.87
Mn  0.7500  0.7500  0.7500  4 Mn 2.87, 4 Br 2.87

(6)
## Mn2HgBr (meta-GGA SCAN)

Data for a PBEsol-optimized structure of Mn2HgBr.

Calculated values
Its formation energy from raw total energies is -0.0240 eV per atom. The calculation puts the density of states at the Fermi level at 1.7 states/eV per cell. Its space group is P4mm, No. 99. The value obtained for the energy above the most stable polymorph in this dataset is 0.0 meV per atom. The crystal system is tetragonal.

Cell lengths 3.1620, 4.8782, 4.8782 Å; angles 90.00, 90.00, 90.00 degrees
With the nearest neighbours (Å) after each atom.
Positions (direct):
Br  0.3439  0.5000  0.5000  4 Mn 2.48
Hg  0.7295  0.0000  0.0000  8 Mn 2.87-2.95, 2 Hg 3.16
Mn  0.2056  0.0000  0.5000  2 Br 2.48
Mn  0.2056  0.5000  0.0000  2 Br 2.48

(7)
## MnHgSe2Br (meta-GGA SCAN)

Data for a PBEsol-optimized structure of MnHgSe2Br.

Calculated values
Its formation energy from raw total energies is 0.4147 eV per atom. The calculation puts the density of states at the Fermi level at 2.3 states/eV per cell. Its space group is P4/mmm, No. 123. The crystal system is tetragonal.

Cell lengths 5.1591, 5.1591, 5.2803 Å; angles 90.00, 90.00, 90.00 degrees
With the nearest neighbours (Å) after each atom.
Positions (direct):
Mn  0.5000  0.5000  0.5000  4 Br 3.65, 8 Se 3.69
Se  0.0000  0.5000  0.0000  2 Hg 2.58
Se  0.5000  0.0000  0.0000  2 Hg 2.58
Hg  0.0000  0.0000  0.0000  4 Se 2.58, 2 Br 2.64
Br  0.0000  0.0000  0.5000  2 Hg 2.64

(8)
## HgMo2Br (meta-GGA SCAN)

Data for a PBEsol-optimized structure of HgMo2Br.

Calculated values
Its formation energy from raw total energies is 1.1433 eV per atom. The calculation puts the density of states at the Fermi level at 4.8 states/eV per cell. Its space group is Fm-3m, No. 225. The value obtained for the energy above the most stable polymorph in this dataset is 763.8 meV per atom. The crystal system is cubic.

Cell lengths 4.5531, 4.5531, 4.5515 Å; angles 120.01, 120.01, 90.00 degrees
With the nearest neighbours (Å) after each atom.
Positions (direct):
Mo  0.7500  0.2500  0.5000  4 Hg 2.79, 4 Br 2.79
Mo  0.2500  0.7500  0.5000  4 Hg 2.79, 4 Br 2.79
Hg  0.0000  0.0000  0.0000  8 Mo 2.79
Br  0.5000  0.5000  0.0000  8 Mo 2.79

- The highest formation energy from raw total energies belongs to which entry?
  HgMo2Br

- What is the formula in the eighth record?
  HgMo2Br

- Which value of formation energy from raw total energies does entry 2 give?
  -0.4506 eV per atom